TaAsIr3: relaxed, GGA-PBE.

DOS at the Fermi energy = 2.09 states/eV per atom
Energy of formation = 539 kJ/mol of formula units
Space-group type = Pm-3m, No. 221
Energy above the most stable polymorph in this dataset = 0.0 kJ per mole of atoms

abc: 4.534 4.534 4.534
angles: 90.00 90.00 90.00
Fractional positions:
1 Ta 0.000 0.000 0.000
2 As 0.500 0.500 0.500
3 Ir 0.000 0.500 0.500
4 Ir 0.500 0.000 0.500
5 Ir 0.500 0.500 0.000